# CrCdOsW2

A geometry-optimized CrCdOsW2 structure (PBE-GGA, Alexandria).

abc: 4.7628 4.4402 4.7628
angles: 90.00 90.00 90.00
Last column: nearest neighbours and their distance in Å.
Element x y z (fractional)
Os: 0.5000 0.5000 0.5000  8 W 3.26, 4 Cr 3.37
W: 0.5000 0.0000 0.0000  2 Cd 2.38
W: 0.0000 0.0000 0.5000  2 Cd 2.38
Cr: 0.0000 0.5000 0.0000  2 Cd 2.22
Cd: 0.0000 0.0000 0.0000  2 Cr 2.22, 4 W 2.38

Results
- space group = No. 123
- calculated formation energy (eV/atom) = 3.18
- polymorph energy (0 for the lowest one) (kJ/mol of atoms) = 92.04



# MgAlReMo

A geometry-optimized MgAlReMo structure (PBE-GGA, Alexandria).

abc: 4.4280 4.4280 4.4280
angles: 60.00 60.00 60.00
Last column: nearest neighbours and their distance in Å.
Element x y z (fractional)
Re: 0.2500 0.2500 0.2500  4 Mo 2.71, 4 Al 2.71
Al: 0.5000 0.5000 0.5000  4 Re 2.71, 4 Mg 2.71
Mg: 0.7500 0.7500 0.7500  4 Mo 2.71, 4 Al 2.71
Mo: 0.0000 0.0000 0.0000  4 Re 2.71, 4 Mg 2.71

Results
- space group = No. 216
- calculated formation energy (eV/atom) = -0.10



# AcLaGdIn

A geometry-optimized AcLaGdIn structure (PBE-GGA, Alexandria).

abc: 5.7683 5.7683 5.7683
angles: 60.00 60.00 60.00
Last column: nearest neighbours and their distance in Å.
Element x y z (fractional)
Ac: 0.5000 0.5000 0.5000  4 Gd 3.53, 4 In 3.53
La: 0.0000 0.0000 0.0000  4 In 3.53, 4 Gd 3.53
Gd: 0.7500 0.7500 0.7500  4 La 3.53, 4 Ac 3.53
In: 0.2500 0.2500 0.2500  4 La 3.53, 4 Ac 3.53

Results
- space group = No. 216
- calculated formation energy (eV/atom) = -0.15



# BeZnSe2

A geometry-optimized BeZnSe2 structure (PBE-GGA, Alexandria).

abc: 6.4748 6.4748 6.4748
angles: 149.84 148.02 44.54
Last column: nearest neighbours and their distance in Å.
Element x y z (fractional)
Be: 0.1937 0.6937 0.5000  2 Se 2.32
Se: 0.0612 0.0612 0.0000  2 Be 2.32
Se: 0.7925 0.2925 0.5000  2 Zn 2.62, 4 Be 2.72
Zn: 0.4526 0.4526 0.0000  6 Se 2.62-2.78

Results
- space group = No. 44
- polymorph energy (0 for the lowest one) (kJ/mol of atoms) = 66.99



# Rb2Na2AgF7

A geometry-optimized Rb2Na2AgF7 structure (PBE-GGA, Alexandria).

abc: 4.5431 4.5431 11.6613
angles: 78.29 78.29 101.47
Last column: nearest neighbours and their distance in Å.
Element x y z (fractional)
Rb: 0.1626 0.1626 0.6296  5 F 2.74-2.95
Rb: 0.8374 0.8374 0.3704  5 F 2.74-2.95
F: 0.6758 0.6758 0.6182  1 Na 2.20
F: 0.3242 0.3242 0.3818  1 Na 2.20
F: 0.0381 0.6770 0.1391  1 Ag 2.02
F: 0.3230 0.9619 0.8609  1 Ag 2.02
F: 0.5000 0.5000 0.0000  2 Na 2.09
F: 0.9619 0.3230 0.8609  1 Ag 2.02
F: 0.6770 0.0381 0.1391  1 Ag 2.02
Na: 0.4762 0.4762 0.1826  2 F 2.09-2.20
Na: 0.5238 0.5238 0.8174  2 F 2.09-2.20
Ag: 0.0000 0.0000 0.0000  4 F 2.02

Results
- space group = No. 12



# ZrNi2Te

A geometry-optimized ZrNi2Te structure (PBE-GGA, Alexandria).

abc: 4.8238 4.8238 4.8238
angles: 128.91 129.06 75.04
Last column: nearest neighbours and their distance in Å.
Element x y z (fractional)
Ni: 0.9995 0.9995 0.0000  4 Te 2.82-2.83, 4 Zr 2.82, 4 Ni 2.94
Ni: 0.5005 0.5005 0.0000  4 Te 2.82-2.83, 4 Zr 2.82, 4 Ni 2.94
Te: 0.2500 0.7500 0.5000  8 Ni 2.82-2.83, 4 Zr 2.94
Zr: 0.7500 0.2500 0.5000  8 Ni 2.82, 4 Te 2.94

Results
- space group = No. 71



Number 1: uncorrected energy -6.352 eV per atom. Number 2: uncorrected energy -7.251 eV per atom. Number 3: uncorrected energy -6.609 eV per atom. Number 4: uncorrected energy -3.044 eV per atom. Number 5: uncorrected energy -3.788 eV per atom. Number 6: uncorrected energy -6.000 eV per atom.